# Sr2Tl2Hg3 PBE-GGA relaxed
data_Sr2Tl2Hg3
_chemical_formula_sum 'Sr8 Tl8 Hg12'
_cell_length_a 9.7065
_cell_length_b 9.7065
_cell_length_c 9.7065
_cell_angle_alpha 90.00
_cell_angle_beta 90.00
_cell_angle_gamma 90.00
_symmetry_space_group_name_H-M 'I 21 3'
_symmetry_Int_Tables_number 199
_symmetry_space_group_name_Hall 'I 2b 2c 3'
loop_
_atom_site_label
_atom_site_type_symbol
_atom_site_fract_x
_atom_site_fract_y
_atom_site_fract_z
_atom_site_occupancy
Sr1 Sr 0.0055 0.0055 0.0055 1
Tl1 Tl 0.1897 0.3103 0.6897 1
Hg1 Hg 0.0000 0.2500 0.2565 1
# - ΔE_f: -1.87 eV per formula unit
# - E above lowest polymorph: 68 meV per atom
# - Magnetic moment: 0.000 μB per formula unit